{
  "formula": "Tl3Cd2In7",
  "functional": "PBE",
  "state": "optimized geometry",
  "formation_enthalpy_0k_ev_per_fu": 0.41,
  "magmom_total_mub_per_atom": 0.00,
  "mass_density_g_cm3": 8.12,
  "spacegroup": "P2/m (10)",
  "final_energy_ev_per_atom": -2.308,
  "lattice_angstrom": [[3.347, 0.000, 0.000], [0.000, 5.840, 0.273], [0.000, 0.887, 17.221]],
  "species": ["Tl", "Tl", "Tl", "In", "In", "In", "In", "In", "In", "In", "Cd", "Cd"],
  "fractional_positions": [[0.000, 0.255, 0.351], [0.500, 0.500, 0.000], [0.000, 0.745, 0.649], [0.500, 0.865, 0.834], [0.000, 0.622, 0.163], [0.500, 0.135, 0.166], [0.500, 0.755, 0.475], [0.000, 0.000, 0.000], [0.000, 0.378, 0.837], [0.500, 0.245, 0.525], [0.500, 0.765, 0.306], [0.500, 0.235, 0.694]]
}